Entry A
The following is a PBE calculation of a relaxed NbPtAu crystal, from OQMD.

abc: 4.3834 4.3834 4.3834
angles: 60.00 60.00 60.00
Last column: nearest neighbours and their distance in Å.
Fractional positions:
Nb 0.0000 0.0000 0.0000  4 Pt 2.68
Pt 0.7500 0.7500 0.7500  4 Nb 2.68, 4 Au 2.68
Au 0.5000 0.5000 0.5000  4 Pt 2.68

---

Entry B
The following is a PBE calculation of a relaxed NbPtAu crystal, from OQMD.

abc: 4.4050 4.4050 4.4050
angles: 60.00 60.00 60.00
Last column: nearest neighbours and their distance in Å.
Fractional positions:
Nb 0.0000 0.0000 0.0000  4 Au 2.70, 4 Pt 2.70
Pt 0.2500 0.2500 0.2500  4 Nb 2.70
Au 0.7500 0.7500 0.7500  4 Nb 2.70

---

Stability order, top to bottom: entry A, entry B

---

Entry A
The following is a PBE calculation of a relaxed RbNbAu crystal, from OQMD.

abc: 5.3127 5.3127 5.3127
angles: 60.00 60.00 60.00
Last column: nearest neighbours and their distance in Å.
Fractional positions:
Rb 0.0000 0.0000 0.0000  4 Au 3.25, 4 Nb 3.25
Nb 0.2500 0.2500 0.2500  4 Rb 3.25
Au 0.7500 0.7500 0.7500  4 Rb 3.25

---

Entry B
The following is a PBE calculation of a relaxed RbNbAu crystal, from OQMD.

abc: 5.1140 5.1140 5.1140
angles: 60.00 60.00 60.00
Last column: nearest neighbours and their distance in Å.
Fractional positions:
Rb 0.0000 0.0000 0.0000  4 Au 3.13
Nb 0.5000 0.5000 0.5000  4 Au 3.13
Au 0.7500 0.7500 0.7500  4 Nb 3.13, 4 Rb 3.13

---

Stability order, top to bottom: entry B, entry A

---

Entry A
The following is a PBE calculation of a relaxed SmNbAu crystal, from OQMD.

abc: 4.6757 4.6757 4.6757
angles: 60.00 60.00 60.00
Last column: nearest neighbours and their distance in Å.
Fractional positions:
Sm 0.0000 0.0000 0.0000  4 Nb 2.86
Nb 0.2500 0.2500 0.2500  4 Au 2.86, 4 Sm 2.86
Au 0.5000 0.5000 0.5000  4 Nb 2.86

---

Entry B
The following is a PBE calculation of a relaxed SmNbAu crystal, from OQMD.

abc: 4.8134 4.8134 4.8134
angles: 60.00 60.00 60.00
Last column: nearest neighbours and their distance in Å.
Fractional positions:
Sm 0.0000 0.0000 0.0000  4 Au 2.95, 4 Nb 2.95
Nb 0.2500 0.2500 0.2500  4 Sm 2.95
Au 0.7500 0.7500 0.7500  4 Sm 2.95

---

Stability order, top to bottom: entry A, entry B

---

Entry A
The following is a PBE calculation of a relaxed TmNbAu crystal, from OQMD.

abc: 4.6975 4.6975 4.6975
angles: 60.00 60.00 60.00
Last column: nearest neighbours and their distance in Å.
Fractional positions:
Tm 0.0000 0.0000 0.0000  4 Nb 2.88, 4 Au 2.88
Nb 0.2500 0.2500 0.2500  4 Tm 2.88
Au 0.7500 0.7500 0.7500  4 Tm 2.88

---

Entry B
The following is a PBE calculation of a relaxed TmNbAu crystal, from OQMD.

abc: 4.6343 4.6343 4.6343
angles: 60.00 60.00 60.00
Last column: nearest neighbours and their distance in Å.
Fractional positions:
Tm 0.0000 0.0000 0.0000  4 Nb 2.84
Nb 0.7500 0.7500 0.7500  4 Tm 2.84, 4 Au 2.84
Au 0.5000 0.5000 0.5000  4 Nb 2.84

---

Stability order, top to bottom: entry B, entry A

---

Entry A
The following is a PBE calculation of a relaxed UNbAu crystal, from OQMD.

abc: 4.5638 4.5638 4.5638
angles: 60.00 60.00 60.00
Last column: nearest neighbours and their distance in Å.
Fractional positions:
U 0.0000 0.0000 0.0000  4 Nb 2.79
Nb 0.7500 0.7500 0.7500  4 U 2.79, 4 Au 2.79
Au 0.5000 0.5000 0.5000  4 Nb 2.79

---

Entry B
The following is a PBE calculation of a relaxed UNbAu crystal, from OQMD.

abc: 4.6233 4.6233 4.6233
angles: 60.00 60.00 60.00
Last column: nearest neighbours and their distance in Å.
Fractional positions:
U 0.0000 0.0000 0.0000  4 Nb 2.83, 4 Au 2.83
Nb 0.2500 0.2500 0.2500  4 U 2.83
Au 0.7500 0.7500 0.7500  4 U 2.83

---

Stability order, top to bottom: entry A, entry B

---

Entry A
The following is a PBE calculation of a relaxed NdAuSO crystal, from OQMD.

abc: 4.0092 4.0092 9.0553
angles: 90.00 90.00 90.00
Last column: nearest neighbours and their distance in Å.
Fractional positions:
Nd 0.2500 0.2500 0.1337  4 O 2.34
Nd 0.7500 0.7500 0.8663  4 O 2.34
Au 0.2500 0.7500 0.5000  4 S 2.74, 4 Au 2.83
Au 0.7500 0.2500 0.5000  4 S 2.74, 4 Au 2.83
S 0.2500 0.2500 0.7065  4 Au 2.74
S 0.7500 0.7500 0.2935  4 Au 2.74
O 0.2500 0.7500 0.0000  4 Nd 2.34
O 0.7500 0.2500 0.0000  4 Nd 2.34

---

Entry B
The following is a PBE calculation of a relaxed NdAuSO crystal, from OQMD.

abc: 7.6184 6.7198 5.7748
angles: 90.00 90.00 90.00
Last column: nearest neighbours and their distance in Å.
Fractional positions:
Nd 0.0934 0.1812 0.0000  3 O 2.40-2.49
Nd 0.4066 0.1812 0.5000  3 O 2.40-2.49
Nd 0.5934 0.8188 0.0000  3 O 2.40-2.49
Nd 0.9066 0.8188 0.5000  3 O 2.40-2.49
Au 0.1768 0.7354 0.1059  1 O 2.15, 1 S 2.33
Au 0.3232 0.7354 0.6059  1 O 2.15, 1 S 2.33
Au 0.6768 0.2646 0.1059  1 O 2.15, 1 S 2.33
Au 0.8232 0.2646 0.6059  1 O 2.15, 1 S 2.33
S 0.0894 0.4143 0.5086  1 Au 2.33
S 0.4106 0.4143 0.0086  1 Au 2.33
S 0.5894 0.5857 0.5086  1 Au 2.33
S 0.9106 0.5857 0.0086  1 Au 2.33
O 0.1557 0.9877 0.6609  1 Au 2.15, 2 Nd 2.40
O 0.3443 0.9877 0.1609  1 Au 2.15, 2 Nd 2.40
O 0.6557 0.0123 0.6609  1 Au 2.15, 2 Nd 2.40
O 0.8443 0.0123 0.1609  1 Au 2.15, 2 Nd 2.40

---

Stability order, top to bottom: entry A, entry B

---

Entry A
The following is a PBE calculation of a relaxed NdAuSO crystal, from OQMD.

abc: 5.8327 5.8291 11.0339
angles: 90.00 92.04 90.00
Last column: nearest neighbours and their distance in Å.
Fractional positions:
Nd 0.0060 0.9996 0.1040  4 O 2.35-2.37
Nd 0.4934 0.0000 0.8961  4 O 2.35-2.37
Nd 0.5066 0.5000 0.1039  4 O 2.35-2.37
Nd 0.9940 0.4996 0.8960  4 O 2.35-2.37
Au 0.1936 0.2745 0.4970  2 S 2.31
Au 0.4978 0.0214 0.2844  2 S 2.34-2.35
Au 0.5022 0.5214 0.7156  2 S 2.34-2.35
Au 0.8064 0.7745 0.5030  2 S 2.31
S 0.2099 0.3033 0.2888  2 Au 2.31-2.35
S 0.2156 0.2410 0.7056  2 Au 2.31-2.34
S 0.7844 0.7410 0.2944  2 Au 2.31-2.34
S 0.7901 0.8033 0.7112  2 Au 2.31-2.35
O 0.2485 0.7490 0.0002  4 Nd 2.35-2.37
O 0.2513 0.2489 0.9989  4 Nd 2.35-2.37
O 0.7487 0.7489 0.0011  4 Nd 2.35-2.37
O 0.7515 0.2490 0.9998  4 Nd 2.35-2.37

---

Entry B
The following is a PBE calculation of a relaxed NdAuSO crystal, from OQMD.

abc: 4.0164 4.0164 8.9983
angles: 90.00 90.00 90.00
Last column: nearest neighbours and their distance in Å.
Fractional positions:
Nd 0.0000 0.0000 0.0000  4 O 2.34
Nd 0.5000 0.5000 0.2687  4 O 2.35
Au 0.0000 0.5000 0.6347  4 S 2.74, 4 Au 2.84
Au 0.5000 0.0000 0.6347  4 S 2.74, 4 Au 2.84
S 0.0000 0.0000 0.4278  4 Au 2.74
S 0.5000 0.5000 0.8413  4 Au 2.74
O 0.0000 0.5000 0.1341  4 Nd 2.34-2.35
O 0.5000 0.0000 0.1341  4 Nd 2.34-2.35

---

Stability order, top to bottom: entry A, entry B